1.
A relaxed LiCo2Ni crystal. Source: the Alexandria database, functional PBE.

The structure in POSCAR format:
```
LiCo2Ni
1.0
4.771 0.000 0.000
0.000 7.953 0.000
-0.636 0.000 2.323
Li Co Ni
2 4 2
direct
0.000 0.000 0.000
0.500 0.500 0.000
0.250 0.250 0.500
0.250 0.750 0.500
0.750 0.250 0.500
0.750 0.750 0.500
0.000 0.500 0.000
0.500 0.000 0.000
```

Output
D(E_F) = 0.96 states/eV per atom
total magnetic moment = 3.6 μB per formula unit
crystal system = monoclinic
E_tot = -5.382 eV/atom

=====

2.
A relaxed LiCoNi2 crystal. Source: the Alexandria database, functional PBE.

The structure in POSCAR format:
```
LiCoNi2
1.0
2.502 0.000 0.000
-1.251 2.167 0.000
0.000 0.000 24.964
Li Co Ni
3 3 6
direct
0.000 0.000 0.000
0.333 0.667 0.667
0.667 0.333 0.333
0.000 0.000 0.833
0.333 0.667 0.500
0.667 0.333 0.167
0.000 0.000 0.420
0.000 0.000 0.580
0.333 0.667 0.086
0.333 0.667 0.247
0.667 0.333 0.753
0.667 0.333 0.914
```

Output
D(E_F) = 1.17 states/eV per atom
total magnetic moment = 2.8 μB per formula unit
crystal system = trigonal
E_tot = -5.127 eV/atom

=====

3.
A relaxed Li2Co2Ni7 crystal. Source: the Alexandria database, functional PBE.

The structure in POSCAR format:
```
Li2Co2Ni7
1.0
4.300 0.000 0.000
-0.782 5.525 0.000
-1.507 -1.905 5.077
Li Co Ni
2 2 7
direct
0.136 0.226 0.046
0.864 0.774 0.954
0.055 0.410 0.672
0.945 0.590 0.328
0.228 0.044 0.419
0.328 0.862 0.770
0.402 0.680 0.134
0.500 0.500 0.500
0.598 0.320 0.866
0.672 0.138 0.230
0.772 0.956 0.581
```

Output
D(E_F) = 1.09 states/eV per atom
total magnetic moment = 7.0 μB per formula unit
crystal system = triclinic
E_tot = -5.297 eV/atom

=====

4.
A relaxed LiCoNi2 crystal. Source: the Alexandria database, functional PBE.

The structure in POSCAR format:
```
LiCoNi2
1.0
3.590 0.000 0.000
0.000 3.590 0.000
0.000 0.000 6.786
Li Co Ni
2 2 4
direct
0.000 0.000 0.000
0.500 0.500 0.500
0.000 0.000 0.500
0.500 0.500 0.000
0.000 0.500 0.250
0.000 0.500 0.750
0.500 0.000 0.250
0.500 0.000 0.750
```

Output
D(E_F) = 1.11 states/eV per atom
total magnetic moment = 2.8 μB per formula unit
crystal system = tetragonal
E_tot = -5.069 eV/atom

=====

5.
A relaxed LiCoNi2 crystal. Source: the Alexandria database, functional PBE.

The structure in POSCAR format:
```
LiCoNi2
1.0
3.496 0.000 0.000
0.000 3.496 0.000
0.000 0.000 7.164
Li Co Ni
2 2 4
direct
0.000 0.000 0.000
0.500 0.500 0.500
0.000 0.500 0.250
0.500 0.000 0.750
0.000 0.000 0.500
0.000 0.500 0.750
0.500 0.000 0.250
0.500 0.500 0.000
```

Output
D(E_F) = 1.03 states/eV per atom
total magnetic moment = 2.8 μB per formula unit
crystal system = tetragonal
E_tot = -5.056 eV/atom

=====

6.
A relaxed LiCo2Ni crystal. Source: the Alexandria database, functional PBE.

The structure in POSCAR format:
```
LiCo2Ni
1.0
8.291 0.000 0.000
0.000 2.437 0.000
-0.610 0.000 4.391
Li Co Ni
2 4 2
direct
0.000 0.000 0.000
0.500 0.500 0.000
0.006 0.500 0.499
0.260 0.500 0.279
0.506 0.000 0.499
0.760 0.000 0.279
0.244 0.000 0.767
0.744 0.500 0.767
```

Output
D(E_F) = 1.09 states/eV per atom
total magnetic moment = 3.8 μB per formula unit
crystal system = monoclinic
E_tot = -5.390 eV/atom